A plane-wave DFT calculation with GGA-PBE was carried out for an optimized crystal structure of HfMgW2.

Cell: 4.642 4.642 4.642 Å, 60.00 60.00 60.00°
Element x y z (fractional)
Hf 0.000 0.000 0.000
Mg 0.750 0.750 0.750
W 0.250 0.250 0.250
W 0.500 0.500 0.500

## Properties
Size of the total moment: 0.002 μB per atom
Electronic total energy: -9.098 eV per atom
Theoretical density: 13.40 g/cm³

A plane-wave DFT calculation with GGA-PBE was carried out for an optimized crystal structure of SmCo5P3.

Cell: 11.772 3.669 10.330 Å, 90.00 90.00 90.00°
Element x y z (fractional)
Sm 0.202 0.250 0.083
Sm 0.298 0.750 0.583
Sm 0.702 0.250 0.417
Sm 0.798 0.750 0.917
Co 0.009 0.750 0.714
Co 0.011 0.750 0.094
Co 0.068 0.750 0.468
Co 0.176 0.250 0.779
Co 0.198 0.250 0.382
Co 0.302 0.750 0.882
Co 0.324 0.750 0.279
Co 0.432 0.250 0.968
Co 0.489 0.250 0.594
Co 0.491 0.250 0.214
Co 0.509 0.750 0.786
Co 0.511 0.750 0.406
Co 0.568 0.750 0.032
Co 0.676 0.250 0.721
Co 0.698 0.250 0.118
Co 0.802 0.750 0.618
Co 0.824 0.750 0.221
Co 0.932 0.250 0.532
Co 0.989 0.250 0.906
Co 0.991 0.250 0.286
P 0.108 0.750 0.896
P 0.111 0.250 0.582
P 0.130 0.750 0.273
P 0.370 0.250 0.773
P 0.389 0.750 0.082
P 0.392 0.250 0.396
P 0.608 0.750 0.604
P 0.611 0.250 0.918
P 0.630 0.750 0.227
P 0.870 0.250 0.727
P 0.889 0.750 0.418
P 0.892 0.250 0.104

## Properties
Size of the total moment: 0.001 μB per atom
Electronic total energy: -7.077 eV per atom
Theoretical density: 8.01 g/cm³